# 1
Entry from the Alexandria database: a geometry-optimized AcH8Au2 structure (PBE-GGA).

Cell lengths 5.230, 6.919, 5.204 Å; angles 127.80, 90.00, 112.21 degrees
Fractional positions:
H (0.121, 0.755, 0.195)
H (0.879, 0.245, 0.805)
H (0.461, 0.922, 0.962)
H (0.539, 0.078, 0.038)
H (0.634, 0.755, 0.195)
H (0.266, 0.532, 0.577)
H (0.366, 0.245, 0.805)
H (0.734, 0.468, 0.423)
Ac (0.000, 0.000, 0.000)
Au (0.774, 0.547, 0.165)
Au (0.226, 0.453, 0.835)

V	130.7	Å³ per cell
symmetry	C2/m, No. 12
electronic total energy	-37.2	eV/cell
density of states at the Fermi level	0.328	states/eV per cell

---

# 2
Entry from the Alexandria database: a geometry-optimized AcHAu structure (PBE-GGA).

Cell lengths 4.001, 7.161, 19.941 Å; angles 165.92, 90.00, 90.00 degrees
Fractional positions:
Ac (0.000, 0.160, 0.060)
Ac (0.000, 0.818, 0.748)
H (0.500, 0.883, 0.367)
H (0.000, 0.329, 0.250)
Au (0.000, 0.451, 0.388)
Au (0.500, 0.817, 0.621)

V	139.0	Å³ per cell
symmetry	Pm, No. 6
electronic total energy	-23.4	eV/cell
density of states at the Fermi level	2.818	states/eV per cell
polymorph energy (0 for the lowest one)	399.1	meV/atom